Entry from the Alexandria database: an optimized crystal structure of RuPbN2 (PBE).

POSCAR file:
```
RuPbN2
1.0
-6.605 0.702 -1.143
-5.915 2.890 1.442
-5.252 3.809 -1.823
N Ru Pb
2 1 1
Direct
0.095 0.095 0.095 N
0.905 0.905 0.905 N
0.000 0.000 0.000 Ru
0.500 0.500 0.500 Pb
```

* space group: No. 166

---

Entry from the Alexandria database: an optimized crystal structure of Ru3Pb3N5 (PBE).

POSCAR file:
```
Ru3Pb3N5
1.0
2.070 -5.689 -1.498
6.278 3.070 -2.930
1.228 0.537 8.201
Ru Pb N
6 6 10
Direct
0.098 0.931 0.712 Ru
0.864 0.309 0.968 Ru
0.902 0.069 0.288 Ru
0.136 0.691 0.032 Ru
0.340 0.038 0.381 Ru
0.660 0.962 0.619 Ru
0.782 0.459 0.593 Pb
0.361 0.183 0.094 Pb
0.643 0.687 0.254 Pb
0.639 0.817 0.906 Pb
0.357 0.313 0.746 Pb
0.218 0.541 0.407 Pb
0.661 0.035 0.391 N
0.909 0.128 0.786 N
0.339 0.965 0.609 N
0.861 0.759 0.557 N
0.158 0.450 0.105 N
0.139 0.241 0.443 N
0.842 0.550 0.895 N
0.776 0.214 0.128 N
0.091 0.872 0.214 N
0.224 0.786 0.872 N
```

* space group: No. 2

---

Entry from the Alexandria database: an optimized crystal structure of RuPbN2 (PBE).

POSCAR file:
```
RuPbN2
1.0
-2.463 0.352 6.530
-1.360 -2.618 6.335
0.629 -0.223 6.956
N Ru Pb
2 1 1
Direct
0.119 0.119 0.119 N
0.881 0.881 0.881 N
0.500 0.500 0.500 Ru
0.000 0.000 0.000 Pb
```

* space group: No. 166

---

Entry from the Alexandria database: an optimized crystal structure of Ru2PbN (PBE).

POSCAR file:
```
Ru2PbN
1.0
-1.355 2.137 3.595
0.038 4.395 0.090
-3.787 2.233 -0.066
Pb Ru N
1 2 1
Direct
0.500 0.500 0.500 Pb
0.750 0.750 0.750 Ru
0.250 0.250 0.250 Ru
0.000 0.000 0.000 N
```

* energy above the lowest structure with this stoichiometry: 1.054 eV per atom
* space group: No. 225

---

Entry from the Alexandria database: an optimized crystal structure of RuPbN3 (PBE).

POSCAR file:
```
RuPbN3
1.0
3.956 0.000 0.000
0.000 3.956 0.000
0.000 0.000 3.956
N Ru Pb
3 1 1
Direct
0.000 0.500 0.000 N
0.500 0.000 0.000 N
0.000 0.000 0.500 N
0.000 0.000 0.000 Ru
0.500 0.500 0.500 Pb
```

* space group: No. 221

---

Entry from the Alexandria database: an optimized crystal structure of RuPbN2 (PBE).

POSCAR file:
```
RuPbN2
1.0
5.396 0.000 0.000
0.000 5.396 0.000
2.698 2.698 4.518
Ru Pb N
2 2 4
Direct
0.250 0.750 0.500 Ru
0.500 0.500 0.000 Ru
0.000 0.000 0.000 Pb
0.750 0.250 0.500 Pb
0.875 0.768 0.750 N
0.232 0.625 0.250 N
0.375 0.482 0.750 N
0.518 0.125 0.250 N
```

* space group: No. 122

---

Number 1: E_form (uncorrected) 1.068 eV/atom, energy -6.341 eV/atom. Number 2: E_form (uncorrected) 0.541 eV/atom, energy -6.785 eV/atom. Number 3: E_form (uncorrected) 0.703 eV/atom, energy -6.705 eV/atom. Number 4: E_form (uncorrected) 1.496 eV/atom, energy -6.150 eV/atom. Number 5: E_form (uncorrected) 1.031 eV/atom, energy -6.561 eV/atom. Number 6: E_form (uncorrected) 0.537 eV/atom, energy -6.872 eV/atom.